A plane-wave DFT calculation with PBE-GGA was carried out for crystalline NaPrZnSe3 at its relaxed geometry.

Geometry as extended XYZ:
```
24
Lattice="-0.8692 3.0147 2.8325 -9.8129 -5.7908 3.1521 6.3517 -6.1434 8.4876" Properties=species:S:1:pos:R:3 pbc="T T T"
Na -8.4506 -4.1316 3.3812
Na -0.4025 -4.2748 6.0032
Na -3.9279 -4.6448 8.4690
Na 4.1202 -4.7880 11.0910
Pr -4.6736 -1.8761 5.2935
Pr 1.1435 0.1385 4.9343
Pr -5.4739 -9.0581 9.5379
Pr 0.3432 -7.0434 9.1787
Se -3.6744 -1.8980 2.4696
Se 0.1900 -0.4737 2.1395
Se -7.2200 -3.4227 6.1582
Se -1.4593 -1.3536 5.7237
Se -3.4256 -4.6177 5.4405
Se -6.1905 -7.1054 7.2398
Se 1.8601 -1.8141 7.2324
Se -0.9048 -4.3018 9.0317
Se -2.8711 -7.5660 8.7486
Se 2.8896 -5.4968 8.3140
Se -4.5204 -8.4458 12.3328
Se -0.6560 -7.0215 12.0026
Zn -1.3603 -1.9833 3.2704
Zn -5.7396 -5.3886 5.5509
Zn 1.4093 -3.5310 8.9214
Zn -2.9701 -6.9363 11.2018
```

Calculated values
VASP energy = -4.271 eV/atom
total magnetization = 0.00 μB per formula unit
excess energy over the best structure of this formula in the dataset = 0 meV/atom

=====

A plane-wave DFT calculation with PBE-GGA was carried out for crystalline LuHfTlTe3 at its relaxed geometry.

Geometry as extended XYZ:
```
12
Lattice="2.0452 -7.7228 0.0000 2.0452 7.7228 0.0000 0.0000 0.0000 11.5506" Properties=species:S:1:pos:R:3 pbc="T T T"
Hf 2.0452 6.7093 2.8877
Hf 2.0452 -6.7093 8.6630
Lu 2.0452 0.0000 0.0000
Lu 2.0452 0.0000 5.7753
Te 2.0452 5.5463 0.3353
Te 2.0452 1.0024 2.8877
Te 2.0452 5.5463 5.4400
Te 2.0452 -5.5463 6.1107
Te 2.0452 -1.0024 8.6630
Te 2.0452 -5.5463 11.2153
Tl 2.0452 -3.6168 2.8877
Tl 2.0452 3.6168 8.6630
```

Calculated values
VASP energy = -5.094 eV/atom
total magnetization = 0.01 μB per formula unit
excess energy over the best structure of this formula in the dataset = 0 meV/atom

=====

A plane-wave DFT calculation with PBE-GGA was carried out for crystalline Li4In2GaCu at its relaxed geometry.

Geometry as extended XYZ:
```
8
Lattice="4.4872 0.0000 0.0000 0.0000 4.4872 0.0000 0.0000 0.0000 6.4489" Properties=species:S:1:pos:R:3 pbc="T T T"
Cu 2.2436 2.2436 0.0000
Ga 0.0000 0.0000 3.2245
In 0.0000 2.2436 1.5238
In 2.2436 0.0000 4.9251
Li 0.0000 0.0000 0.0000
Li 2.2436 0.0000 1.5718
Li 2.2436 2.2436 3.2245
Li 0.0000 2.2436 4.8771
```

Calculated values
VASP energy = -2.756 eV/atom

=====

A plane-wave DFT calculation with PBE-GGA was carried out for crystalline LiDyNiSn at its relaxed geometry.

Geometry as extended XYZ:
```
4
Lattice="0.0000 3.2782 3.2782 3.2782 0.0000 3.2782 3.2782 3.2782 0.0000" Properties=species:S:1:pos:R:3 pbc="T T T"
Dy 1.6391 1.6391 1.6391
Li 0.0000 0.0000 0.0000
Ni 3.2782 3.2782 3.2782
Sn 4.9173 4.9173 4.9173
```

Calculated values
VASP energy = -4.613 eV/atom
total magnetization = 0.00 μB per formula unit